# Fe5O3F7, relaxed, DFT GGA+U
data_Fe5O3F7
_chemical_formula_sum 'Fe10 O6 F14'
_cell_length_a 4.798
_cell_length_b 4.797
_cell_length_c 15.645
_cell_angle_alpha 90.00
_cell_angle_beta 90.00
_cell_angle_gamma 90.00
_symmetry_space_group_name_H-M 'P 1'
_symmetry_Int_Tables_number 1
_symmetry_space_group_name_Hall 'P 1'
loop_
_atom_site_label
_atom_site_type_symbol
_atom_site_fract_x
_atom_site_fract_y
_atom_site_fract_z
Fe1 Fe 0.976 0.712 0.292
Fe2 Fe 0.535 0.210 0.000
Fe3 Fe 0.035 0.790 0.500
Fe4 Fe 0.476 0.288 0.208
Fe5 Fe 0.512 0.257 0.405
Fe6 Fe 0.512 0.257 0.595
Fe7 Fe 0.476 0.288 0.792
Fe8 Fe 0.012 0.743 0.095
Fe9 Fe 0.976 0.712 0.708
Fe10 Fe 0.012 0.743 0.905
F1 F 0.309 0.051 0.891
F2 F 0.286 0.047 0.701
F3 F 0.809 0.949 0.609
F4 F 0.194 0.558 0.393
F5 F 0.223 0.516 0.000
F6 F 0.286 0.047 0.299
F7 F 0.694 0.442 0.107
F8 F 0.309 0.051 0.109
F9 F 0.694 0.442 0.893
F10 F 0.786 0.953 0.799
F11 F 0.723 0.484 0.500
F12 F 0.809 0.949 0.391
F13 F 0.786 0.953 0.201
F14 F 0.194 0.558 0.607
O1 O 0.824 0.921 0.000
O2 O 0.182 0.557 0.801
O3 O 0.182 0.557 0.199
O4 O 0.324 0.079 0.500
O5 O 0.682 0.443 0.301
O6 O 0.682 0.443 0.699
# total magnetic moment = 46.0 Bohr magnetons per cell
# space-group type = No. 31
# electronic total energy = -5.79 eV/atom
# crystal system = orthorhombic